[1]
# Y2NbB

An optimized crystal structure of Y2NbB (PBE, Alexandria via LeMat-Bulk).

Properties
Formation energy ... 0.36 eV per atom
Energy ... -7.0614 eV per atom

Cell lengths 7.0391, 7.0391, 7.0391 Å; angles 95.57, 95.57, 143.69 degrees
Atoms (fractional coordinates):
1 Y 0.3750 0.2232 0.3482
2 Y 0.7768 0.1250 0.1518
3 Y 0.8750 0.0268 0.6518
4 Y 0.9732 0.6250 0.8482
5 Nb 0.2500 0.7500 0.5000
6 Nb 0.5000 0.5000 0.0000
7 B 0.0000 0.0000 0.0000
8 B 0.7500 0.2500 0.5000


[2]
# Y3NbB

An optimized crystal structure of Y3NbB (PBE, Alexandria via LeMat-Bulk).

Properties
Formation energy ... 1.40 eV per atom
Energy ... -5.8276 eV per atom
Excess energy over the best structure of this formula in the dataset ... 97.4 kJ per mole of atoms

Cell lengths 5.3239, 5.3239, 5.3239 Å; angles 90.00, 90.00, 90.00 degrees
Atoms (fractional coordinates):
1 Y 0.0000 0.0000 0.5000
2 Y 0.0000 0.5000 0.0000
3 Y 0.5000 0.0000 0.0000
4 Nb 0.0000 0.0000 0.0000
5 B 0.5000 0.5000 0.5000


[3]
# Y3NbB

An optimized crystal structure of Y3NbB (PBE, Alexandria via LeMat-Bulk).

Properties
Formation energy ... 0.39 eV per atom
Energy ... -6.8366 eV per atom
Excess energy over the best structure of this formula in the dataset ... 0.0 kJ per mole of atoms

Cell lengths 5.0344, 5.0344, 5.0344 Å; angles 90.00, 90.00, 90.00 degrees
Atoms (fractional coordinates):
1 Y 0.0000 0.0000 0.5000
2 Y 0.0000 0.5000 0.0000
3 Y 0.5000 0.0000 0.0000
4 Nb 0.5000 0.5000 0.5000
5 B 0.0000 0.0000 0.0000


[4]
# YNbB3

An optimized crystal structure of YNbB3 (PBE, Alexandria via LeMat-Bulk).

Properties
Formation energy ... 2.07 eV per atom
Energy ... -5.2410 eV per atom
Excess energy over the best structure of this formula in the dataset ... 160.4 kJ per mole of atoms

Cell lengths 4.2429, 4.2429, 4.2429 Å; angles 90.00, 90.00, 90.00 degrees
Atoms (fractional coordinates):
1 Y 0.0000 0.0000 0.0000
2 Nb 0.5000 0.5000 0.5000
3 B 0.0000 0.0000 0.5000
4 B 0.0000 0.5000 0.0000
5 B 0.5000 0.0000 0.0000


Question: What is the formula in the fourth record?
Answer: YNbB3